1.
# PBE-GGA Ta2TiH4, relaxed
# Space group: I4/mmm
# Total DFT energy (no corrections): -44.90 eV per cell
# V: 61.3 Å³ per cell
# Mass density: 11213 kg/m³
data_Ta2TiH4
_chemical_formula_sum 'Ta2 Ti1 H4'
_symmetry_space_group_name_H-M 'P 1'
_symmetry_Int_Tables_number 1
_cell_length_a 3.372
_cell_length_b 3.372
_cell_length_c 5.894
_cell_angle_alpha 73.38
_cell_angle_beta 73.38
_cell_angle_gamma 90.00
loop_
_symmetry_equiv_pos_as_xyz
'x,y,z'
loop_
_atom_site_label
_atom_site_fract_x
_atom_site_fract_y
_atom_site_fract_z
Ti1 0.000 0.000 0.000
H1 0.000 0.500 0.000
H2 0.833 0.833 0.334
H3 0.500 0.000 0.000
Ta1 0.662 0.662 0.676
Ta2 0.338 0.338 0.324
H4 0.167 0.167 0.666

***

2.
# PBE-GGA CdBSeN2, relaxed
# Space group: P4/mmm
# V: 103.2 Å³ per cell
# Mass density: 3704 kg/m³
# ΔE_f (raw): 2.504 eV/atom
data_CdBSeN2
_chemical_formula_sum 'Cd1 B1 Se1 N2'
_symmetry_space_group_name_H-M 'P 1'
_symmetry_Int_Tables_number 1
_cell_length_a 4.150
_cell_length_b 4.150
_cell_length_c 5.993
_cell_angle_alpha 90.00
_cell_angle_beta 90.00
_cell_angle_gamma 90.00
loop_
_symmetry_equiv_pos_as_xyz
'x,y,z'
loop_
_atom_site_label
_atom_site_fract_x
_atom_site_fract_y
_atom_site_fract_z
B1 0.500 0.500 0.500
Se1 0.000 0.000 0.500
Cd1 0.000 0.000 0.000
N1 0.500 0.000 0.000
N2 0.000 0.500 0.000

***

3.
# PBE-GGA CoTc2Hg, relaxed
# Space group: C2/m
# Total DFT energy (no corrections): -26.27 eV per cell
# V: 60.3 Å³ per cell
# Mass density: 12549 kg/m³
data_CoTc2Hg
_chemical_formula_sum 'Co1 Tc2 Hg1'
_symmetry_space_group_name_H-M 'P 1'
_symmetry_Int_Tables_number 1
_cell_length_a 4.942
_cell_length_b 4.942
_cell_length_c 4.660
_cell_angle_alpha 77.31
_cell_angle_beta 77.31
_cell_angle_gamma 32.96
loop_
_symmetry_equiv_pos_as_xyz
'x,y,z'
loop_
_atom_site_label
_atom_site_fract_x
_atom_site_fract_y
_atom_site_fract_z
Hg1 0.250 0.250 0.250
Tc1 0.482 0.482 0.530
Tc2 0.018 0.018 0.970
Co1 0.750 0.750 0.750

***

4.
# PBE-GGA Pr4CoPt, relaxed
# Space group: C2/c
# Total DFT energy (no corrections): -68.74 eV per cell
# V: 352.6 Å³ per cell
# Mass density: 7701 kg/m³
data_Pr4CoPt
_chemical_formula_sum 'Pr8 Co2 Pt2'
_symmetry_space_group_name_H-M 'P 1'
_symmetry_Int_Tables_number 1
_cell_length_a 7.063
_cell_length_b 7.131
_cell_length_c 8.353
_cell_angle_alpha 69.85
_cell_angle_beta 64.99
_cell_angle_gamma 90.00
loop_
_symmetry_equiv_pos_as_xyz
'x,y,z'
loop_
_atom_site_label
_atom_site_fract_x
_atom_site_fract_y
_atom_site_fract_z
Pt1 0.764 0.250 0.000
Pr1 0.908 0.356 0.263
Pr2 0.423 0.466 0.239
Pr3 0.172 0.144 0.737
Pr4 0.338 0.966 0.239
Pr5 0.577 0.534 0.761
Pt2 0.236 0.750 0.000
Pr6 0.662 0.034 0.761
Pr7 0.092 0.644 0.737
Co1 0.500 0.500 0.500
Co2 0.000 0.000 0.500
Pr8 0.828 0.856 0.263

***

5.
# PBE-GGA Y2BeHPd, relaxed
# Space group: P4/mmm
# Total DFT energy (no corrections): -27.22 eV per cell
# V: 84.7 Å³ per cell
# Mass density: 5768 kg/m³
data_Y2BeHPd
_chemical_formula_sum 'Y2 Be1 H1 Pd1'
_symmetry_space_group_name_H-M 'P 1'
_symmetry_Int_Tables_number 1
_cell_length_a 4.883
_cell_length_b 4.883
_cell_length_c 3.553
_cell_angle_alpha 90.00
_cell_angle_beta 90.00
_cell_angle_gamma 90.00
loop_
_symmetry_equiv_pos_as_xyz
'x,y,z'
loop_
_atom_site_label
_atom_site_fract_x
_atom_site_fract_y
_atom_site_fract_z
Y1 0.500 0.000 0.000
Be1 0.000 0.000 0.500
Y2 0.000 0.500 0.000
H1 0.000 0.000 0.000
Pd1 0.500 0.500 0.500

***

6.
# PBE-GGA Pm2Pr6Y3, relaxed
# Space group: C2/m
# Total DFT energy (no corrections): -55.79 eV per cell
# V: 402.0 Å³ per cell
# Mass density: 5792 kg/m³
data_Pm2Pr6Y3
_chemical_formula_sum 'Pm2 Pr6 Y3'
_symmetry_space_group_name_H-M 'P 1'
_symmetry_Int_Tables_number 1
_cell_length_a 6.305
_cell_length_b 6.311
_cell_length_c 11.852
_cell_angle_alpha 84.87
_cell_angle_beta 79.70
_cell_angle_gamma 60.03
loop_
_symmetry_equiv_pos_as_xyz
'x,y,z'
loop_
_atom_site_label
_atom_site_fract_x
_atom_site_fract_y
_atom_site_fract_z
Y1 0.666 0.669 0.000
Pr1 0.252 0.000 0.251
Pr2 0.748 0.000 0.749
Pr3 0.086 0.331 0.749
Pm1 0.833 0.333 0.500
Pr4 0.583 0.331 0.251
Pm2 0.167 0.667 0.500
Y2 0.000 0.000 0.000
Y3 0.334 0.331 0.000
Pr5 0.417 0.669 0.749
Pr6 0.914 0.669 0.251

***

7.
# PBE-GGA CeSm12Co6, relaxed
# Space group: Im-3
# Total DFT energy (no corrections): -106.23 eV per cell
# V: 494.5 Å³ per cell
# Mass density: 7717 kg/m³
data_CeSm12Co6
_chemical_formula_sum 'Ce1 Sm12 Co6'
_symmetry_space_group_name_H-M 'P 1'
_symmetry_Int_Tables_number 1
_cell_length_a 8.628
_cell_length_b 8.628
_cell_length_c 8.628
_cell_angle_alpha 109.47
_cell_angle_beta 109.47
_cell_angle_gamma 109.47
loop_
_symmetry_equiv_pos_as_xyz
'x,y,z'
loop_
_atom_site_label
_atom_site_fract_x
_atom_site_fract_y
_atom_site_fract_z
Co1 0.888 0.388 0.500
Sm1 0.115 0.806 0.309
Co2 0.612 0.500 0.112
Co3 0.388 0.500 0.888
Sm2 0.309 0.503 0.194
Sm3 0.885 0.194 0.691
Co4 0.500 0.888 0.388
Sm4 0.806 0.691 0.497
Co5 0.500 0.112 0.612
Sm5 0.806 0.309 0.115
Ce1 0.000 0.000 0.000
Sm6 0.194 0.309 0.503
Co6 0.112 0.612 0.500
Sm7 0.503 0.194 0.309
Sm8 0.497 0.806 0.691
Sm9 0.194 0.691 0.885
Sm10 0.691 0.885 0.194
Sm11 0.309 0.115 0.806
Sm12 0.691 0.497 0.806

***

8.
# PBE-GGA Bi2AsH2, relaxed
# Space group: P4/mbm
# Total DFT energy (no corrections): -36.39 eV per cell
# V: 191.5 Å³ per cell
# Mass density: 8582 kg/m³
data_Bi2AsH2
_chemical_formula_sum 'Bi4 As2 H4'
_symmetry_space_group_name_H-M 'P 1'
_symmetry_Int_Tables_number 1
_cell_length_a 6.861
_cell_length_b 6.861
_cell_length_c 4.069
_cell_angle_alpha 90.00
_cell_angle_beta 90.00
_cell_angle_gamma 90.00
loop_
_symmetry_equiv_pos_as_xyz
'x,y,z'
loop_
_atom_site_label
_atom_site_fract_x
_atom_site_fract_y
_atom_site_fract_z
H1 0.961 0.539 0.000
As1 0.500 0.500 0.000
H2 0.461 0.961 0.000
Bi1 0.246 0.746 0.500
H3 0.539 0.039 0.000
Bi2 0.254 0.246 0.500
Bi3 0.746 0.754 0.500
As2 0.000 0.000 0.000
H4 0.039 0.461 0.000
Bi4 0.754 0.254 0.500

***

9.
# PBE-GGA DySeN, relaxed
# Space group: P2_1/c
# V: 272.5 Å³ per cell
# Mass density: 6228 kg/m³
# ΔE_f (raw): -1.181 eV/atom
data_DySeN
_chemical_formula_sum 'Dy4 Se4 N4'
_symmetry_space_group_name_H-M 'P 1'
_symmetry_Int_Tables_number 1
_cell_length_a 4.018
_cell_length_b 8.189
_cell_length_c 8.525
_cell_angle_alpha 76.27
_cell_angle_beta 90.00
_cell_angle_gamma 90.00
loop_
_symmetry_equiv_pos_as_xyz
'x,y,z'
loop_
_atom_site_label
_atom_site_fract_x
_atom_site_fract_y
_atom_site_fract_z
N1 0.429 0.015 0.939
N2 0.929 0.485 0.061
Se1 0.251 0.671 0.317
Se2 0.751 0.829 0.683
Dy1 0.744 0.917 0.333
N3 0.571 0.985 0.061
Dy2 0.256 0.083 0.667
N4 0.071 0.515 0.939
Dy3 0.244 0.583 0.667
Se3 0.249 0.171 0.317
Se4 0.749 0.329 0.683
Dy4 0.756 0.417 0.333

***

10.
# PBE-GGA LiHo4Ga12, relaxed
# Space group: Im-3m
# Total DFT energy (no corrections): -65.38 eV per cell
# V: 321.9 Å³ per cell
# Mass density: 7755 kg/m³
data_LiHo4Ga12
_chemical_formula_sum 'Li1 Ho4 Ga12'
_symmetry_space_group_name_H-M 'P 1'
_symmetry_Int_Tables_number 1
_cell_length_a 7.478
_cell_length_b 7.478
_cell_length_c 7.478
_cell_angle_alpha 109.47
_cell_angle_beta 109.47
_cell_angle_gamma 109.47
loop_
_symmetry_equiv_pos_as_xyz
'x,y,z'
loop_
_atom_site_label
_atom_site_fract_x
_atom_site_fract_y
_atom_site_fract_z
Ga1 0.000 0.706 0.706
Ga2 0.294 0.000 0.294
Ga3 0.500 0.750 0.250
Li1 0.000 0.000 0.000
Ho1 0.500 0.500 0.500
Ga4 0.500 0.250 0.750
Ga5 0.706 0.706 0.000
Ho2 0.000 0.000 0.500
Ga6 0.250 0.500 0.750
Ho3 0.500 0.000 0.000
Ga7 0.250 0.750 0.500
Ga8 0.750 0.500 0.250
Ho4 0.000 0.500 0.000
Ga9 0.294 0.294 0.000
Ga10 0.750 0.250 0.500
Ga11 0.000 0.294 0.294
Ga12 0.706 0.000 0.706

***

11.
# PBE-GGA DyMg2ZnAg4, relaxed
# Space group: R-3m
# Total DFT energy (no corrections): -21.92 eV per cell
# V: 157.3 Å³ per cell
# Mass density: 7473 kg/m³
data_DyMg2ZnAg4
_chemical_formula_sum 'Dy1 Mg2 Zn1 Ag4'
_symmetry_space_group_name_H-M 'P 1'
_symmetry_Int_Tables_number 1
_cell_length_a 4.693
_cell_length_b 4.693
_cell_length_c 8.682
_cell_angle_alpha 74.32
_cell_angle_beta 74.32
_cell_angle_gamma 60.00
loop_
_symmetry_equiv_pos_as_xyz
'x,y,z'
loop_
_atom_site_label
_atom_site_fract_x
_atom_site_fract_y
_atom_site_fract_z
Ag1 0.608 0.608 0.176
Dy1 0.000 0.000 0.000
Ag2 0.128 0.128 0.615
Zn1 0.500 0.500 0.500
Mg1 0.245 0.245 0.265
Ag3 0.872 0.872 0.385
Mg2 0.755 0.755 0.735
Ag4 0.392 0.392 0.824